No. 1
Below is NiRhCl2 after structural relaxation, with properties calculated at the PBE-GGA level.

Lattice parameters (Å, degrees): 5.517 5.517 10.475 90.00 90.00 90.00
Sites, in units of the cell vectors:
Ni 0.000 0.000 0.000
Ni 0.000 0.500 0.250
Ni 0.500 0.000 0.750
Ni 0.500 0.500 0.500
Rh 0.000 0.000 0.500
Rh 0.000 0.500 0.750
Rh 0.500 0.000 0.250
Rh 0.500 0.500 0.000
Cl 0.220 0.250 0.125
Cl 0.250 0.720 0.375
Cl 0.250 0.780 0.875
Cl 0.280 0.250 0.625
Cl 0.720 0.750 0.625
Cl 0.750 0.220 0.875
Cl 0.750 0.280 0.375
Cl 0.780 0.750 0.125

Raw total energy   -0.1465 Ha/atom
Uncorrected formation energy   0.22 eV per atom
Symmetry   I-42d, No. 122
Size of the total moment   11.386 Bohr magnetons per cell
ρ   4.8 g cm⁻³

No. 2
Below is NiRhCl2 after structural relaxation, with properties calculated at the PBE-GGA level.

Lattice parameters (Å, degrees): 3.782 5.464 7.679 90.00 90.00 90.00
Sites, in units of the cell vectors:
Ni 0.000 0.000 0.000
Ni 0.500 0.500 0.000
Rh 0.000 0.500 0.182
Rh 0.500 0.000 0.182
Cl 0.000 0.000 0.390
Cl 0.000 0.500 0.835
Cl 0.500 0.000 0.835
Cl 0.500 0.500 0.390

Raw total energy   -0.1513 Ha/atom
Uncorrected formation energy   0.09 eV per atom
Symmetry   Cmm2, No. 35
Size of the total moment   3.387 Bohr magnetons per cell
ρ   4.9 g cm⁻³

No. 3
Below is NiRhCl2 after structural relaxation, with properties calculated at the PBE-GGA level.

Lattice parameters (Å, degrees): 3.212 3.212 20.985 90.00 90.00 120.00
Sites, in units of the cell vectors:
Ni 0.000 0.000 0.000
Ni 0.333 0.667 0.667
Ni 0.667 0.333 0.333
Rh 0.000 0.000 0.500
Rh 0.333 0.667 0.167
Rh 0.667 0.333 0.833
Cl 0.000 0.000 0.261
Cl 0.000 0.000 0.739
Cl 0.333 0.667 0.406
Cl 0.333 0.667 0.927
Cl 0.667 0.333 0.073
Cl 0.667 0.333 0.594

Raw total energy   -0.1447 Ha/atom
Uncorrected formation energy   0.27 eV per atom
Symmetry   R-3m, No. 166
Size of the total moment   4.766 Bohr magnetons per cell
ρ   6.2 g cm⁻³

No. 4
Below is NiRh3Cl after structural relaxation, with properties calculated at the PBE-GGA level.

Lattice parameters (Å, degrees): 4.575 4.575 4.575 90.00 90.00 90.00
Sites, in units of the cell vectors:
Ni 0.000 0.000 0.000
Rh 0.000 0.000 0.500
Rh 0.000 0.500 0.000
Rh 0.500 0.000 0.000
Cl 0.500 0.500 0.500

Raw total energy   -0.1713 Ha/atom
Uncorrected formation energy   1.28 eV per atom
Symmetry   Pm-3m, No. 221
Size of the total moment   4.975 Bohr magnetons per cell
ρ   7.0 g cm⁻³

No. 5
Below is NiRhCl2 after structural relaxation, with properties calculated at the PBE-GGA level.

Lattice parameters (Å, degrees): 3.100 5.917 7.350 90.00 90.00 90.00
Sites, in units of the cell vectors:
Ni 0.000 0.000 0.000
Ni 0.500 0.500 0.500
Rh 0.000 0.000 0.500
Rh 0.500 0.500 0.000
Cl 0.000 0.500 0.265
Cl 0.000 0.500 0.735
Cl 0.500 0.000 0.235
Cl 0.500 0.000 0.765

Raw total energy   -0.1440 Ha/atom
Uncorrected formation energy   0.29 eV per atom
Symmetry   Immm, No. 71
Size of the total moment   2.272 Bohr magnetons per cell
ρ   5.7 g cm⁻³

No. 6
Below is NiRhCl2 after structural relaxation, with properties calculated at the PBE-GGA level.

Lattice parameters (Å, degrees): 3.187 3.187 7.313 90.00 90.00 90.00
Sites, in units of the cell vectors:
Ni 0.000 0.000 0.000
Rh 0.500 0.500 0.183
Cl 0.000 0.000 0.400
Cl 0.500 0.500 0.844

Raw total energy   -0.1504 Ha/atom
Uncorrected formation energy   0.11 eV per atom
Symmetry   P4mm, No. 99
Size of the total moment   3.017 Bohr magnetons per cell
ρ   5.2 g cm⁻³

No. 7
Below is NiRhCl2 after structural relaxation, with properties calculated at the PBE-GGA level.

Lattice parameters (Å, degrees): 6.421 6.421 6.421 90.00 90.00 90.00
Sites, in units of the cell vectors:
Ni 0.000 0.000 0.000
Ni 0.000 0.500 0.500
Ni 0.500 0.000 0.500
Ni 0.500 0.500 0.000
Rh 0.250 0.250 0.750
Rh 0.250 0.750 0.250
Rh 0.750 0.250 0.250
Rh 0.750 0.750 0.750
Cl 0.000 0.000 0.500
Cl 0.000 0.500 0.000
Cl 0.250 0.250 0.250
Cl 0.250 0.750 0.750
Cl 0.500 0.000 0.000
Cl 0.500 0.500 0.500
Cl 0.750 0.250 0.750
Cl 0.750 0.750 0.250

Raw total energy   -0.1275 Ha/atom
Uncorrected formation energy   0.74 eV per atom
Symmetry   F-43m, No. 216
Size of the total moment   12.226 Bohr magnetons per cell
ρ   5.8 g cm⁻³

No. 8
Below is NiRhCl2 after structural relaxation, with properties calculated at the PBE-GGA level.

Lattice parameters (Å, degrees): 3.711 3.767 12.117 90.00 90.00 90.00
Sites, in units of the cell vectors:
Ni 0.000 0.000 0.000
Ni 0.500 0.500 0.500
Rh 0.000 0.000 0.500
Rh 0.500 0.500 0.000
Cl 0.000 0.500 0.373
Cl 0.000 0.500 0.627
Cl 0.500 0.000 0.127
Cl 0.500 0.000 0.873

Raw total energy   -0.1536 Ha/atom
Uncorrected formation energy   0.03 eV per atom
Symmetry   Immm, No. 71
Size of the total moment   1.486 Bohr magnetons per cell
ρ   4.6 g cm⁻³

No. 9
Below is NiRhCl2 after structural relaxation, with properties calculated at the PBE-GGA level.

Lattice parameters (Å, degrees): 3.071 3.732 5.905 90.00 90.00 90.00
Sites, in units of the cell vectors:
Ni 0.000 0.000 0.000
Rh 0.500 0.000 0.500
Cl 0.000 0.500 0.500
Cl 0.500 0.500 0.000

Raw total energy   -0.1430 Ha/atom
Uncorrected formation energy   0.31 eV per atom
Symmetry   Pmmm, No. 47
Size of the total moment   0.954 Bohr magnetons per cell
ρ   5.7 g cm⁻³

No. 10
Below is NiRhCl after structural relaxation, with properties calculated at the PBE-GGA level.

Lattice parameters (Å, degrees): 5.867 5.867 5.867 90.00 90.00 90.00
Sites, in units of the cell vectors:
Ni 0.000 0.000 0.000
Ni 0.000 0.500 0.500
Ni 0.500 0.000 0.500
Ni 0.500 0.500 0.000
Rh 0.250 0.250 0.750
Rh 0.250 0.750 0.250
Rh 0.750 0.250 0.250
Rh 0.750 0.750 0.750
Cl 0.250 0.250 0.250
Cl 0.250 0.750 0.750
Cl 0.750 0.250 0.750
Cl 0.750 0.750 0.250

Raw total energy   -0.1575 Ha/atom
Uncorrected formation energy   0.71 eV per atom
Symmetry   F-43m, No. 216
Size of the total moment   8.787 Bohr magnetons per cell
ρ   6.5 g cm⁻³

No. 11
Below is NiRhCl2 after structural relaxation, with properties calculated at the PBE-GGA level.

Lattice parameters (Å, degrees): 3.209 3.362 14.561 90.00 90.00 90.00
Sites, in units of the cell vectors:
Ni 0.000 0.000 0.000
Ni 0.500 0.500 0.500
Rh 0.000 0.500 0.357
Rh 0.500 0.000 0.857
Cl 0.000 0.000 0.553
Cl 0.000 0.500 0.806
Cl 0.500 0.000 0.306
Cl 0.500 0.500 0.053

Raw total energy   -0.1488 Ha/atom
Uncorrected formation energy   0.16 eV per atom
Symmetry   Imm2, No. 44
Size of the total moment   2.500 Bohr magnetons per cell
ρ   4.9 g cm⁻³

No. 12
Below is NiRhCl2 after structural relaxation, with properties calculated at the PBE-GGA level.

Lattice parameters (Å, degrees): 4.180 3.336 5.342 90.00 90.01 90.00
Sites, in units of the cell vectors:
Ni 0.000 0.000 0.000
Rh 0.000 0.000 0.500
Cl 0.247 0.500 0.756
Cl 0.753 0.500 0.244

Raw total energy   -0.1489 Ha/atom
Uncorrected formation energy   0.15 eV per atom
Symmetry   P2/m, No. 10
Size of the total moment   0.753 Bohr magnetons per cell
ρ   5.2 g cm⁻³

Question: The lowest size of the total moment belongs to which entry?
Answer: number 12